The following is a DFT calculation (PBE with a Hubbard U) of a relaxed Li5V5O9F crystal.

Structure (POSCAR):
```
Li5V5O9F
1.0
5.1972 -0.0038 0.0036
0.8560 5.1971 0.0033
2.5959 2.2305 7.1823
Li V O F
5 5 9 1
Direct
0.5151 0.3027 0.9144 Li
0.5058 0.8720 0.6919 Li
0.5106 0.5073 0.4800 Li
0.4982 0.0997 0.3041 Li
0.4939 0.7080 0.1030 Li
0.9908 0.6195 0.8027 V
0.9882 0.2012 0.5950 V
0.9980 0.7956 0.4021 V
0.0000 0.3955 0.1982 V
0.9952 0.9908 0.0083 V
0.7668 0.9739 0.8473 O
0.2351 0.6564 0.9614 O
0.7688 0.5438 0.6416 O
0.7647 0.1486 0.4417 O
0.2273 0.8682 0.5466 O
0.7683 0.7418 0.2508 O
0.2250 0.4436 0.3556 O
0.7759 0.3351 0.0501 O
0.2275 0.0417 0.1555 O
0.2447 0.2547 0.7498 F
```

Summary:
Total energy = -135.4 eV per cell
Magnetization = 11.00 Bohr magnetons per cell